[1]
VASP calculation (GGA-PBE) on a relaxed structure of RbIn2Se.

Results
For the uncorrected formation energy, the calculation gives -0.342 eV/atom. The density of states at the Fermi level is 0.49 states/eV/atom.

Cell: 9.126 9.126 6.676 Å, 90.00 90.00 90.00°
Positions (direct):
Rb: 0.000 0.000 0.000
Rb: 0.000 0.500 0.250
Rb: 0.500 0.000 0.750
Rb: 0.500 0.500 0.500
In: 0.193 0.250 0.625
In: 0.250 0.693 0.875
In: 0.250 0.807 0.375
In: 0.307 0.250 0.125
In: 0.693 0.750 0.125
In: 0.750 0.193 0.375
In: 0.750 0.307 0.875
In: 0.807 0.750 0.625
Se: 0.000 0.000 0.500
Se: 0.000 0.500 0.750
Se: 0.500 0.000 0.250
Se: 0.500 0.500 0.000


[2]
VASP calculation (GGA-PBE) on a relaxed structure of Rb3In5Se12.

Results
For the uncorrected formation energy, the calculation gives -0.400 eV/atom. The density of states at the Fermi level is 0.21 states/eV/atom.

Cell: 15.480 15.480 15.480 Å, 109.47 109.47 109.47°
Positions (direct):
Rb: 0.125 0.250 0.375
Rb: 0.125 0.375 0.750
Rb: 0.250 0.375 0.125
Rb: 0.250 0.875 0.625
Rb: 0.375 0.125 0.250
Rb: 0.375 0.750 0.125
Rb: 0.625 0.250 0.875
Rb: 0.625 0.875 0.750
Rb: 0.750 0.125 0.375
Rb: 0.750 0.625 0.875
Rb: 0.875 0.625 0.250
Rb: 0.875 0.750 0.625
In: 0.000 0.000 0.000
In: 0.000 0.000 0.500
In: 0.000 0.500 0.000
In: 0.000 0.500 0.500
In: 0.125 0.750 0.875
In: 0.125 0.875 0.250
In: 0.250 0.125 0.875
In: 0.250 0.625 0.375
In: 0.375 0.250 0.625
In: 0.375 0.625 0.750
In: 0.500 0.000 0.000
In: 0.500 0.000 0.500
In: 0.500 0.500 0.000
In: 0.500 0.500 0.500
In: 0.625 0.375 0.250
In: 0.625 0.750 0.375
In: 0.750 0.375 0.625
In: 0.750 0.875 0.125
In: 0.875 0.125 0.750
In: 0.875 0.250 0.125
Se: 0.006 0.207 0.058
Se: 0.006 0.299 0.948
Se: 0.052 0.558 0.350
Se: 0.052 0.994 0.701
Se: 0.058 0.006 0.207
Se: 0.058 0.552 0.850
Se: 0.150 0.707 0.701
Se: 0.150 0.942 0.448
Se: 0.201 0.207 0.650
Se: 0.201 0.494 0.552
Se: 0.207 0.058 0.006
Se: 0.207 0.650 0.201
Se: 0.293 0.299 0.850
Se: 0.293 0.494 0.442
Se: 0.299 0.850 0.293
Se: 0.299 0.948 0.006
Se: 0.350 0.052 0.558
Se: 0.350 0.799 0.793
Se: 0.442 0.293 0.494
Se: 0.442 0.650 0.948
Se: 0.448 0.150 0.942
Se: 0.448 0.799 0.506
Se: 0.494 0.442 0.293
Se: 0.494 0.552 0.201
Se: 0.506 0.448 0.799
Se: 0.506 0.558 0.707
Se: 0.552 0.201 0.494
Se: 0.552 0.850 0.058
Se: 0.558 0.350 0.052
Se: 0.558 0.707 0.506
Se: 0.650 0.201 0.207
Se: 0.650 0.948 0.442
Se: 0.701 0.052 0.994
Se: 0.701 0.150 0.707
Se: 0.707 0.506 0.558
Se: 0.707 0.701 0.150
Se: 0.793 0.350 0.799
Se: 0.793 0.942 0.994
Se: 0.799 0.506 0.448
Se: 0.799 0.793 0.350
Se: 0.850 0.058 0.552
Se: 0.850 0.293 0.299
Se: 0.942 0.448 0.150
Se: 0.942 0.994 0.793
Se: 0.948 0.006 0.299
Se: 0.948 0.442 0.650
Se: 0.994 0.701 0.052
Se: 0.994 0.793 0.942


[3]
VASP calculation (GGA-PBE) on a relaxed structure of Rb5In2Se5.

Results
For the uncorrected formation energy, the calculation gives -0.930 eV/atom. The density of states at the Fermi level is 0.17 states/eV/atom.

Cell: 8.118 8.118 12.358 Å, 102.66 102.66 34.09°
Positions (direct):
Rb: 0.000 0.000 0.000
Rb: 0.153 0.153 0.578
Rb: 0.270 0.270 0.870
Rb: 0.730 0.730 0.130
Rb: 0.847 0.847 0.422
In: 0.462 0.462 0.706
In: 0.538 0.538 0.294
Se: 0.132 0.132 0.290
Se: 0.391 0.391 0.139
Se: 0.500 0.500 0.500
Se: 0.609 0.609 0.861
Se: 0.868 0.868 0.710


[4]
VASP calculation (GGA-PBE) on a relaxed structure of RbIn4Se5.

Results
For the uncorrected formation energy, the calculation gives -0.509 eV/atom. The density of states at the Fermi level is 0.23 states/eV/atom.

Cell: 7.770 11.514 7.110 Å, 90.00 90.00 90.00°
Positions (direct):
Rb: 0.250 0.250 0.072
Rb: 0.750 0.750 0.928
In: 0.053 0.250 0.548
In: 0.250 0.557 0.921
In: 0.250 0.943 0.921
In: 0.447 0.250 0.548
In: 0.553 0.750 0.452
In: 0.750 0.057 0.079
In: 0.750 0.443 0.079
In: 0.947 0.750 0.452
Se: 0.020 0.566 0.221
Se: 0.020 0.934 0.221
Se: 0.250 0.750 0.696
Se: 0.480 0.566 0.221
Se: 0.480 0.934 0.221
Se: 0.520 0.066 0.779
Se: 0.520 0.434 0.779
Se: 0.750 0.250 0.304
Se: 0.980 0.066 0.779
Se: 0.980 0.434 0.779


[5]
VASP calculation (GGA-PBE) on a relaxed structure of RbInSe2.

Results
For the uncorrected formation energy, the calculation gives -0.819 eV/atom.

Cell: 4.138 4.138 24.073 Å, 90.00 90.00 120.00°
Positions (direct):
Rb: 0.000 0.000 0.000
Rb: 0.333 0.667 0.667
Rb: 0.667 0.333 0.333
In: 0.000 0.000 0.167
In: 0.333 0.667 0.834
In: 0.667 0.333 0.501
Se: 0.000 0.000 0.563
Se: 0.000 0.000 0.771
Se: 0.333 0.667 0.230
Se: 0.333 0.667 0.438
Se: 0.667 0.333 0.104
Se: 0.667 0.333 0.897


[6]
VASP calculation (GGA-PBE) on a relaxed structure of RbInSe2.

Results
For the uncorrected formation energy, the calculation gives -0.888 eV/atom. The density of states at the Fermi level is 0.00 states/eV/atom.

Cell: 7.810 7.810 9.364 Å, 90.00 90.00 90.00°
Positions (direct):
Rb: 0.000 0.000 0.000
Rb: 0.000 0.500 0.250
Rb: 0.500 0.000 0.750
Rb: 0.500 0.500 0.500
In: 0.000 0.000 0.500
In: 0.000 0.500 0.750
In: 0.500 0.000 0.250
In: 0.500 0.500 0.000
Se: 0.168 0.250 0.625
Se: 0.250 0.668 0.875
Se: 0.250 0.832 0.375
Se: 0.332 0.250 0.125
Se: 0.668 0.750 0.125
Se: 0.750 0.168 0.375
Se: 0.750 0.332 0.875
Se: 0.832 0.750 0.625


[7]
VASP calculation (GGA-PBE) on a relaxed structure of Rb2InSe3.

Results
For the uncorrected formation energy, the calculation gives -0.666 eV/atom. The density of states at the Fermi level is 0.73 states/eV/atom.

Cell: 7.721 7.721 11.599 Å, 90.00 90.00 120.00°
Positions (direct):
Rb: 0.000 0.000 0.000
Rb: 0.000 0.000 0.500
Rb: 0.333 0.667 0.252
Rb: 0.667 0.333 0.748
In: 0.333 0.667 0.750
In: 0.667 0.333 0.250
Se: 0.145 0.290 0.750
Se: 0.145 0.855 0.750
Se: 0.290 0.145 0.250
Se: 0.710 0.855 0.750
Se: 0.855 0.145 0.250
Se: 0.855 0.710 0.250


[8]
VASP calculation (GGA-PBE) on a relaxed structure of Rb2InSe.

Results
For the uncorrected formation energy, the calculation gives -0.358 eV/atom. The density of states at the Fermi level is 0.38 states/eV/atom. The relative energy among the computed polymorphs comes out at 0 meV per atom.

Cell: 10.993 10.993 6.448 Å, 90.00 90.00 90.00°
Positions (direct):
Rb: 0.144 0.250 0.125
Rb: 0.250 0.644 0.375
Rb: 0.250 0.856 0.875
Rb: 0.356 0.250 0.625
Rb: 0.644 0.750 0.625
Rb: 0.750 0.144 0.875
Rb: 0.750 0.356 0.375
Rb: 0.856 0.750 0.125
In: 0.000 0.000 0.500
In: 0.000 0.500 0.750
In: 0.500 0.000 0.250
In: 0.500 0.500 0.000
Se: 0.000 0.000 0.000
Se: 0.000 0.500 0.250
Se: 0.500 0.000 0.750
Se: 0.500 0.500 0.500